! Zr2NiPt, relaxed, DFT PBE; values from VASP
&SYSTEM
  ibrav = 0, nat = 8, ntyp = 3
/
ATOMIC_SPECIES
Ni 58.69 Ni.upf
Zr 91.22 Zr.upf
Pt 195.08 Pt.upf
CELL_PARAMETERS angstrom
-4.7756 3.7718 -3.9967
-5.2330 -4.7381 1.7814
-5.6505 1.0730 1.1330
ATOMIC_POSITIONS angstrom
Ni -5.0043 -0.4831 -1.1076
Ni -7.9439 -2.0741 0.9034
Zr -4.9818 1.9783 -1.9337
Zr -5.3499 -2.1665 0.8387
Zr -8.0675 0.3733 0.0450
Zr -12.9191 0.0285 -1.1146
Pt 0.0000 0.0000 0.0000
Pt -7.7152 2.1809 -1.9857
! total DFT energy (no corrections)	-7.491	eV/atom
! space group	No. 122